1.
A plane-wave DFT calculation with PBE-GGA was carried out for crystalline TbThAlPd at its relaxed geometry.

Structure (POSCAR):
```
TbThAlPd
1.0
7.2991 0.0000 0.0000
0.0000 7.2991 0.0000
0.0000 0.0000 7.2991
Tb Th Al Pd
4 4 4 4
Cartesian
0.0000 0.0000 0.0000 Tb
0.0000 3.6496 3.6496 Tb
3.6496 0.0000 3.6496 Tb
3.6496 3.6496 0.0000 Tb
0.0000 0.0000 3.6496 Th
0.0000 3.6496 0.0000 Th
3.6496 0.0000 0.0000 Th
3.6496 3.6496 3.6496 Th
1.8248 1.8248 5.4743 Al
1.8248 5.4743 1.8248 Al
5.4743 1.8248 1.8248 Al
5.4743 5.4743 5.4743 Al
1.8248 1.8248 1.8248 Pd
1.8248 5.4743 5.4743 Pd
5.4743 1.8248 5.4743 Pd
5.4743 5.4743 1.8248 Pd
```

Properties
- VASP energy: -90.82 eV for the cell shown
- Formation enthalpy at 0 K: -430 meV per atom
- Crystal system: cubic
- Fermi-level density of states: 1.109 states/eV per atom


2.
A plane-wave DFT calculation with PBE-GGA was carried out for crystalline Tb2Al3ZnPd4 at its relaxed geometry.

Structure (POSCAR):
```
Tb2Al3ZnPd4
1.0
4.2705 0.0000 0.0000
0.0000 4.2705 0.0000
0.0000 0.0000 10.2774
Tb Al Zn Pd
2 3 1 4
Cartesian
0.0000 2.1352 2.5468 Tb
2.1352 0.0000 7.7306 Tb
0.0000 2.1352 8.9866 Al
2.1352 0.0000 1.2908 Al
2.1352 2.1352 5.1387 Al
0.0000 0.0000 5.1387 Zn
0.0000 0.0000 0.0000 Pd
0.0000 2.1352 6.5417 Pd
2.1352 0.0000 3.7357 Pd
2.1352 2.1352 0.0000 Pd
```

Properties
- VASP energy: -50.55 eV for the cell shown
- Formation enthalpy at 0 K: -802 meV per atom
- Crystal system: tetragonal
- Fermi-level density of states: 0.561 states/eV per atom


3.
A plane-wave DFT calculation with PBE-GGA was carried out for crystalline TbAl2ZnPd4 at its relaxed geometry.

Structure (POSCAR):
```
TbAl2ZnPd4
1.0
2.1534 1.2432 8.4660
-2.1534 1.2432 8.4660
0.0000 -2.4865 8.4660
Tb Al Zn Pd
1 2 1 4
Cartesian
0.0000 0.0000 0.0000 Tb
0.0000 0.0000 6.0868 Al
0.0000 0.0000 19.3112 Al
0.0000 0.0000 12.6990 Zn
0.0000 0.0000 3.3303 Pd
0.0000 0.0000 10.1637 Pd
0.0000 0.0000 15.2344 Pd
0.0000 0.0000 22.0677 Pd
```

Properties
- VASP energy: -40.46 eV for the cell shown
- Formation enthalpy at 0 K: -787 meV per atom
- Crystal system: trigonal
- Fermi-level density of states: 0.404 states/eV per atom


4.
A plane-wave DFT calculation with PBE-GGA was carried out for crystalline TbAl4ZnPd2 at its relaxed geometry.

Structure (POSCAR):
```
TbAl4ZnPd2
1.0
2.1521 1.2425 8.6669
-2.1521 1.2425 8.6669
0.0000 -2.4850 8.6669
Tb Al Zn Pd
1 4 1 2
Cartesian
0.0000 0.0000 0.0000 Tb
0.0000 0.0000 3.2961 Al
0.0000 0.0000 10.4038 Al
0.0000 0.0000 15.5969 Al
0.0000 0.0000 22.7047 Al
0.0000 0.0000 13.0004 Zn
0.0000 0.0000 6.1588 Pd
0.0000 0.0000 19.8420 Pd
```

Properties
- VASP energy: -35.62 eV for the cell shown
- Formation enthalpy at 0 K: -545 meV per atom
- Crystal system: trigonal
- Fermi-level density of states: 0.308 states/eV per atom


5.
A plane-wave DFT calculation with PBE-GGA was carried out for crystalline Tb2Al4Zn3Pd at its relaxed geometry.

Structure (POSCAR):
```
Tb2Al4Zn3Pd
1.0
4.1279 0.0000 0.0000
0.0000 4.1279 0.0000
0.0000 0.0000 10.9210
Tb Al Zn Pd
2 4 3 1
Cartesian
0.0000 2.0640 2.6978 Tb
2.0640 0.0000 8.2232 Tb
0.0000 0.0000 0.0000 Al
0.0000 2.0640 6.9242 Al
2.0640 0.0000 3.9968 Al
2.0640 2.0640 0.0000 Al
0.0000 2.0640 9.3824 Zn
2.0640 0.0000 1.5386 Zn
2.0640 2.0640 5.4605 Zn
0.0000 0.0000 5.4605 Pd
```

Properties
- VASP energy: -38.17 eV for the cell shown
- Formation enthalpy at 0 K: -493 meV per atom
- Crystal system: tetragonal
- Fermi-level density of states: 0.518 states/eV per atom


6.
A plane-wave DFT calculation with PBE-GGA was carried out for crystalline Tb4AlZn2Pd at its relaxed geometry.

Structure (POSCAR):
```
Tb4AlZn2Pd
1.0
2.5291 1.4602 8.2634
-2.5291 1.4602 8.2634
0.0000 -2.9203 8.2634
Tb Al Zn Pd
4 1 2 1
Cartesian
0.0000 0.0000 3.0197 Tb
0.0000 0.0000 9.2377 Tb
0.0000 0.0000 15.5526 Tb
0.0000 0.0000 21.7705 Tb
0.0000 0.0000 12.3951 Al
0.0000 0.0000 6.0694 Zn
0.0000 0.0000 18.7208 Zn
0.0000 0.0000 0.0000 Pd
```

Properties
- VASP energy: -33.95 eV for the cell shown
- Formation enthalpy at 0 K: -494 meV per atom
- Crystal system: trigonal
- Fermi-level density of states: 0.576 states/eV per atom